Record 1
First-principles (GGA-PBE) data for a geometry-optimized Sr3In4Ag2 structure, as listed in Alexandria via LeMat-Bulk.

Geometry as CIF:
```
data_Sr3In4Ag2
_chemical_formula_sum 'Sr3 In4 Ag2'
_symmetry_space_group_name_H-M 'P 1'
_symmetry_Int_Tables_number 1
_cell_length_a 6.432
_cell_length_b 6.432
_cell_length_c 9.641
_cell_angle_alpha 111.49
_cell_angle_beta 111.49
_cell_angle_gamma 45.48
loop_
_symmetry_equiv_pos_as_xyz
'x,y,z'
loop_
_atom_site_label
_atom_site_type_symbol
_atom_site_fract_x
_atom_site_fract_y
_atom_site_fract_z
Sr1 Sr 0.000 0.000 0.000
Sr2 Sr 0.318 0.318 0.357
Sr3 Sr 0.682 0.682 0.643
In1 In 0.019 0.019 0.357
In2 In 0.260 0.260 0.918
In3 In 0.740 0.740 0.082
In4 In 0.981 0.981 0.643
Ag1 Ag 0.409 0.409 0.737
Ag2 Ag 0.591 0.591 0.263
```

---

Record 2
First-principles (GGA-PBE) data for a geometry-optimized SrIn6Ag2 structure, as listed in Alexandria via LeMat-Bulk.

Geometry as CIF:
```
data_SrIn6Ag2
_chemical_formula_sum 'Sr2 In12 Ag4'
_symmetry_space_group_name_H-M 'P 1'
_symmetry_Int_Tables_number 1
_cell_length_a 9.361
_cell_length_b 9.361
_cell_length_c 9.361
_cell_angle_alpha 60.00
_cell_angle_beta 60.00
_cell_angle_gamma 60.00
loop_
_symmetry_equiv_pos_as_xyz
'x,y,z'
loop_
_atom_site_label
_atom_site_type_symbol
_atom_site_fract_x
_atom_site_fract_y
_atom_site_fract_z
Sr1 Sr 0.125 0.125 0.125
Sr2 Sr 0.875 0.875 0.875
In1 In 0.130 0.130 0.620
In2 In 0.130 0.620 0.130
In3 In 0.130 0.620 0.620
In4 In 0.380 0.380 0.870
In5 In 0.380 0.870 0.380
In6 In 0.380 0.870 0.870
In7 In 0.620 0.130 0.130
In8 In 0.620 0.130 0.620
In9 In 0.620 0.620 0.130
In10 In 0.870 0.380 0.380
In11 In 0.870 0.380 0.870
In12 In 0.870 0.870 0.380
Ag1 Ag 0.000 0.500 0.500
Ag2 Ag 0.500 0.000 0.500
Ag3 Ag 0.500 0.500 0.000
Ag4 Ag 0.500 0.500 0.500
```

---

Record 3
First-principles (GGA-PBE) data for a geometry-optimized SrInAg5 structure, as listed in Alexandria via LeMat-Bulk.

Geometry as CIF:
```
data_SrInAg5
_chemical_formula_sum 'Sr4 In4 Ag20'
_symmetry_space_group_name_H-M 'P 1'
_symmetry_Int_Tables_number 1
_cell_length_a 9.193
_cell_length_b 5.828
_cell_length_c 11.527
_cell_angle_alpha 90.00
_cell_angle_beta 90.00
_cell_angle_gamma 90.00
loop_
_symmetry_equiv_pos_as_xyz
'x,y,z'
loop_
_atom_site_label
_atom_site_type_symbol
_atom_site_fract_x
_atom_site_fract_y
_atom_site_fract_z
Sr1 Sr 0.242 0.250 0.058
Sr2 Sr 0.258 0.750 0.558
Sr3 Sr 0.742 0.250 0.442
Sr4 Sr 0.758 0.750 0.942
In1 In 0.147 0.750 0.853
In2 In 0.353 0.250 0.353
In3 In 0.647 0.750 0.647
In4 In 0.853 0.250 0.147
Ag1 Ag 0.065 0.008 0.307
Ag2 Ag 0.065 0.492 0.307
Ag3 Ag 0.072 0.750 0.090
Ag4 Ag 0.098 0.250 0.520
Ag5 Ag 0.182 0.250 0.761
Ag6 Ag 0.318 0.750 0.261
Ag7 Ag 0.402 0.750 0.020
Ag8 Ag 0.428 0.250 0.590
Ag9 Ag 0.435 0.508 0.807
Ag10 Ag 0.435 0.992 0.807
Ag11 Ag 0.565 0.008 0.193
Ag12 Ag 0.565 0.492 0.193
Ag13 Ag 0.572 0.750 0.410
Ag14 Ag 0.598 0.250 0.980
Ag15 Ag 0.682 0.250 0.739
Ag16 Ag 0.818 0.750 0.239
Ag17 Ag 0.902 0.750 0.480
Ag18 Ag 0.928 0.250 0.910
Ag19 Ag 0.935 0.508 0.693
Ag20 Ag 0.935 0.992 0.693
```

---

Here are the calculated formation enthalpy at 0 K numbers, same order: -0.41, 0.10, -0.19 (eV per atom).